First-principles (PBE) data for a relaxed Ca2ZnW crystal, as listed in the Alexandria database.

a b c (Å): 3.1726 4.8311 6.3304
angles (deg): 90.00 104.37 90.00
Sites, in units of the cell vectors:
Ca  0.0000  0.0000  0.0000
Ca  0.3178  0.5000  0.6403
Zn  0.7087  0.0000  0.4217
W  0.6023  0.5000  0.2049

Calculated values
The space group is Pm, No. 6. The total energy is -15.78 eV/cell. The density of states at the Fermi level comes out at 4.61 states/eV/f.u. The value obtained for the total magnetization is 0.82 Bohr magnetons per cell. For the formation energy from the elements, the calculation gives 0.612 eV/atom. The calculated density is 5.820 Mg/m³.

First-principles (PBE) data for a relaxed CaZrW4 crystal, as listed in the Alexandria database.

a b c (Å): 5.4750 5.4750 5.4750
angles (deg): 60.00 60.00 60.00
Sites, in units of the cell vectors:
Ca  0.0000  0.0000  0.0000
Zr  0.2500  0.2500  0.2500
W  0.1240  0.6253  0.6253
W  0.6253  0.1240  0.6253
W  0.6253  0.6253  0.1240
W  0.6253  0.6253  0.6253

Calculated values
The space group is F-43m, No. 216. The total energy is -60.66 eV/cell. The density of states at the Fermi level comes out at 8.02 states/eV/f.u. The value obtained for the total magnetization is 0.00 Bohr magnetons per cell. For the formation energy from the elements, the calculation gives 0.284 eV/atom. The calculated density is 12.401 Mg/m³.

First-principles (PBE) data for a relaxed CaZrW3 crystal, as listed in the Alexandria database.

a b c (Å): 4.9201 4.9201 4.9201
angles (deg): 90.00 90.00 90.00
Sites, in units of the cell vectors:
Ca  0.0000  0.0000  0.0000
Zr  0.5000  0.5000  0.5000
W  0.0000  0.5000  0.5000
W  0.5000  0.0000  0.5000
W  0.5000  0.5000  0.0000

Calculated values
The space group is Pm-3m, No. 221. The total energy is -38.99 eV/cell. The density of states at the Fermi level comes out at 4.81 states/eV/f.u. For the energy above the lowest structure with this stoichiometry, the calculation gives 0.000 eV/atom. The value obtained for the total magnetization is 0.00 Bohr magnetons per cell. For the formation energy from the elements, the calculation gives 2.085 eV/atom. The calculated density is 9.520 Mg/m³.

> The lowest calculated density belongs to which entry?

Ca2ZnW

Please write out number 2 again, unchanged.
First-principles (PBE) data for a relaxed CaZrW4 crystal, as listed in the Alexandria database.

a b c (Å): 5.4750 5.4750 5.4750
angles (deg): 60.00 60.00 60.00
Sites, in units of the cell vectors:
Ca  0.0000  0.0000  0.0000
Zr  0.2500  0.2500  0.2500
W  0.1240  0.6253  0.6253
W  0.6253  0.1240  0.6253
W  0.6253  0.6253  0.1240
W  0.6253  0.6253  0.6253

Calculated values
The space group is F-43m, No. 216. The total energy is -60.66 eV/cell. The density of states at the Fermi level comes out at 8.02 states/eV/f.u. The value obtained for the total magnetization is 0.00 Bohr magnetons per cell. For the formation energy from the elements, the calculation gives 0.284 eV/atom. The calculated density is 12.401 Mg/m³.